Model 1:
A plane-wave DFT calculation with PBE was carried out for a relaxed structure of Mg3Tl3In.

Summary:
DOS at the Fermi energy in states/eV/f.u.: 3.38
Calculated volume in Å³/cell: 560

CIF file:
```
data_Mg3Tl3In
_symmetry_space_group_name_H-M 'R 3 m'
_symmetry_Int_Tables_number 160
_symmetry_space_group_name_Hall 'R 3 -2"'
_cell_length_a 10.1243
_cell_length_b 10.1243
_cell_length_c 6.3127
_cell_angle_alpha 90.00
_cell_angle_beta 90.00
_cell_angle_gamma 120.00
loop_
_atom_site_label
_atom_site_type_symbol
_atom_site_fract_x
_atom_site_fract_y
_atom_site_fract_z
Mg1 Mg 0.1690 0.3380 0.0000
Tl1 Tl 0.1696 0.3392 0.4974
In1 In 0.0000 0.0000 0.1555
```

---

Model 2:
A plane-wave DFT calculation with PBE was carried out for a relaxed structure of Mg3Tl3In.

Summary:
DOS at the Fermi energy in states/eV/f.u.: 6.76
Calculated volume in Å³/cell: 523

CIF file:
```
data_Mg3Tl3In
_symmetry_space_group_name_H-M 'P m -3 n'
_symmetry_Int_Tables_number 223
_symmetry_space_group_name_Hall '-P 4n 2 3'
_cell_length_a 8.0563
_cell_length_b 8.0563
_cell_length_c 8.0563
_cell_angle_alpha 90.00
_cell_angle_beta 90.00
_cell_angle_gamma 90.00
loop_
_atom_site_label
_atom_site_type_symbol
_atom_site_fract_x
_atom_site_fract_y
_atom_site_fract_z
Mg1 Mg 0.0000 0.2500 0.5000
Tl1 Tl 0.0000 0.5000 0.2500
In1 In 0.0000 0.0000 0.0000
```

---

Name the most stable of them. model 1.

---

Model 1:
A plane-wave DFT calculation with PBE was carried out for a relaxed structure of Mg4Tl7In.

Summary:
DOS at the Fermi energy in states/eV/f.u.: 5.68
Calculated volume in Å³/cell: 323

CIF file:
```
data_Mg4Tl7In
_symmetry_space_group_name_H-M 'P -1'
_symmetry_Int_Tables_number 2
_cell_length_a 4.6770
_cell_length_b 5.7712
_cell_length_c 13.2685
_cell_angle_alpha 92.09
_cell_angle_beta 99.97
_cell_angle_gamma 112.97
loop_
_symmetry_equiv_pos_as_xyz
'x,y,z'
'-x,-y,-z'
loop_
_atom_site_label
_atom_site_type_symbol
_atom_site_fract_x
_atom_site_fract_y
_atom_site_fract_z
Mg1 Mg 0.0053 0.3426 0.1671
Mg2 Mg 0.2527 0.5961 0.4157
Tl1 Tl 0.0000 0.0000 0.5000
Tl2 Tl 0.2446 0.2375 0.7511
Tl3 Tl 0.2556 0.9261 0.0843
Tl4 Tl 0.4795 0.7934 0.6603
In1 In 0.5000 0.5000 0.0000
```

---

Model 2:
A plane-wave DFT calculation with PBE was carried out for a relaxed structure of Mg4Tl7In.

Summary:
DOS at the Fermi energy in states/eV/f.u.: 3.60
Calculated volume in Å³/cell: 677

CIF file:
```
data_Mg4Tl7In
_symmetry_space_group_name_H-M 'C 1 2/m 1'
_symmetry_Int_Tables_number 12
_cell_length_a 14.9850
_cell_length_b 5.8143
_cell_length_c 9.4132
_cell_angle_alpha 90.00
_cell_angle_beta 124.33
_cell_angle_gamma 90.00
loop_
_symmetry_equiv_pos_as_xyz
'x,y,z'
'-x,-y,-z'
'-x,y,-z'
'x,-y,z'
'x+1/2,y+1/2,z'
'-x+1/2,-y+1/2,-z'
'-x+1/2,y+1/2,-z'
'x+1/2,-y+1/2,z'
loop_
_atom_site_label
_atom_site_type_symbol
_atom_site_fract_x
_atom_site_fract_y
_atom_site_fract_z
Mg1 Mg 0.0344 0.0000 0.2033
Mg2 Mg 0.1944 0.0000 0.8504
Tl1 Tl 0.0000 0.0000 0.5000
Tl2 Tl 0.0658 0.5000 0.9013
Tl3 Tl 0.2056 0.5000 0.3830
Tl4 Tl 0.2319 0.0000 0.1988
In1 In 0.0000 0.5000 0.5000
```

---

Name the most stable of them. model 1.

---

Model 1:
A plane-wave DFT calculation with PBE was carried out for a relaxed structure of Mg6Tl2In.

Summary:
DOS at the Fermi energy in states/eV/f.u.: 3.89
Calculated volume in Å³/cell: 213

CIF file:
```
data_Mg6Tl2In
_symmetry_space_group_name_H-M 'P -6 2 m'
_symmetry_Int_Tables_number 189
_symmetry_space_group_name_Hall 'P -6 -2'
_cell_length_a 8.2313
_cell_length_b 8.2313
_cell_length_c 3.6338
_cell_angle_alpha 90.00
_cell_angle_beta 90.00
_cell_angle_gamma 120.00
loop_
_atom_site_label
_atom_site_type_symbol
_atom_site_fract_x
_atom_site_fract_y
_atom_site_fract_z
Mg1 Mg 0.0000 0.3715 0.0000
Mg2 Mg 0.0000 0.7146 0.5000
Tl1 Tl 0.3333 0.6667 0.5000
In1 In 0.0000 0.0000 0.0000
```

---

Model 2:
A plane-wave DFT calculation with PBE was carried out for a relaxed structure of Mg6Tl2In.

Summary:
DOS at the Fermi energy in states/eV/f.u.: 3.08
Calculated volume in Å³/cell: 862

CIF file:
```
data_Mg6Tl2In
_symmetry_space_group_name_H-M 'C 1 2/c 1'
_symmetry_Int_Tables_number 15
_cell_length_a 15.0451
_cell_length_b 11.0511
_cell_length_c 5.3018
_cell_angle_alpha 90.00
_cell_angle_beta 102.06
_cell_angle_gamma 90.00
loop_
_symmetry_equiv_pos_as_xyz
'x,y,z'
'-x,-y,-z'
'-x,y,-z+1/2'
'x,-y,z+1/2'
'x+1/2,y+1/2,z'
'-x+1/2,-y+1/2,-z'
'-x+1/2,y+1/2,-z+1/2'
'x+1/2,-y+1/2,z+1/2'
loop_
_atom_site_label
_atom_site_type_symbol
_atom_site_fract_x
_atom_site_fract_y
_atom_site_fract_z
Mg1 Mg 0.0589 0.1180 0.0295
Mg2 Mg 0.1059 0.3847 0.3025
Mg3 Mg 0.2223 0.3818 0.8659
Tl1 Tl 0.1678 0.1363 0.5818
In1 In 0.0000 0.3608 0.7500
```

---

Name the most stable of them. model 1.